(1)
DySnS2, optimized geometry, DFT PBE; SG = R-3m (166); raw total energy = -4.758 eV per atom
1.0
1.957 1.130 8.375
-1.957 1.130 8.375
0.000 -2.260 8.375
Dy Sn S
1 1 2
direct
0.000 0.000 0.000
0.500 0.500 0.500
0.104 0.104 0.104
0.896 0.896 0.896

***

(2)
MgAsH3, optimized geometry, DFT PBE; SG = Pm-3m (221); E above lowest polymorph = 0.000 eV/atom
1.0
3.830 0.000 0.000
0.000 3.830 0.000
0.000 0.000 3.830
Mg As H
1 1 3
direct
0.000 0.000 0.000
0.500 0.500 0.500
0.000 0.500 0.500
0.500 0.000 0.500
0.500 0.500 0.000

***

(3)
AcRh3Pb, optimized geometry, DFT PBE; SG = Imma (74); E_form = -0.303 eV per atom
1.0
-2.889 3.955 4.641
2.889 -3.955 4.641
2.889 3.955 -4.641
Ac Rh Pb
2 6 2
direct
0.265 0.015 0.250
0.735 0.985 0.750
0.037 0.287 0.750
0.295 0.000 0.795
0.295 0.500 0.295
0.705 0.000 0.205
0.705 0.500 0.705
0.963 0.713 0.250
0.000 0.500 0.500
0.500 0.500 0.000

***

(4)
BC2, optimized geometry, DFT PBE; SG = Cm (8); E above lowest polymorph = 0.064 eV/atom; E_form = 0.304 eV per atom
1.0
4.265 -1.261 0.000
4.265 1.261 0.000
-4.038 0.000 6.980
B C
4 8
direct
0.000 0.000 0.000
0.014 0.014 0.509
0.212 0.212 0.458
0.478 0.478 0.649
0.172 0.172 0.973
0.290 0.290 0.685
0.348 0.348 0.173
0.512 0.512 0.147
0.659 0.659 0.858
0.690 0.690 0.326
0.809 0.809 0.800
0.852 0.852 0.287

***

(5)
LiTcPCl2, optimized geometry, DFT PBE; SG = P4/mmm (123); E above lowest polymorph = 0.663 eV/atom
1.0
4.337 0.000 0.000
0.000 4.337 0.000
0.000 0.000 5.367
Li Tc P Cl
1 1 1 2
direct
0.000 0.000 0.000
0.500 0.500 0.500
0.000 0.000 0.500
0.000 0.500 0.000
0.500 0.000 0.000

***

(6)
Ca2As4PdRh3, optimized geometry, DFT PBE; SG = P-4m2 (115); E_form = -0.746 eV per atom
1.0
4.324 0.000 0.000
0.000 4.324 0.000
0.000 0.000 9.997
Ca As Pd Rh
2 4 1 3
direct
0.000 0.500 0.244
0.500 0.000 0.756
0.000 0.000 0.000
0.000 0.500 0.635
0.500 0.000 0.365
0.500 0.500 0.000
0.000 0.000 0.500
0.000 0.500 0.877
0.500 0.000 0.123
0.500 0.500 0.500

***

(7)
PmPr12Cd6, optimized geometry, DFT PBE; SG = R-3 (148); E_form = -0.107 eV per atom
1.0
5.850 3.377 5.013
-5.850 3.377 5.013
0.000 -6.755 5.013
Pm Pr Cd
1 12 6
direct
0.000 0.000 0.000
0.046 0.387 0.155
0.155 0.046 0.387
0.192 0.571 0.468
0.387 0.155 0.046
0.429 0.532 0.808
0.468 0.192 0.571
0.532 0.808 0.429
0.571 0.468 0.192
0.613 0.845 0.954
0.808 0.429 0.532
0.845 0.954 0.613
0.954 0.613 0.845
0.114 0.263 0.740
0.260 0.886 0.737
0.263 0.740 0.114
0.737 0.260 0.886
0.740 0.114 0.263
0.886 0.737 0.260

***

(8)
Na2RhAu2, optimized geometry, DFT PBE; SG = P4/mbm (127); E_form = 0.017 eV per atom
1.0
6.824 0.000 0.000
0.000 6.824 0.000
0.000 0.000 4.603
Na Rh Au
4 2 4
direct
0.174 0.326 0.000
0.326 0.826 0.000
0.674 0.174 0.000
0.826 0.674 0.000
0.000 0.000 0.500
0.500 0.500 0.500
0.139 0.639 0.500
0.361 0.139 0.500
0.639 0.861 0.500
0.861 0.361 0.500

***

(9)
CaMg3, optimized geometry, DFT PBE; SG = Pm-3m (221); E_form = 0.980 eV per atom
1.0
6.641 0.000 0.000
0.000 6.641 0.000
0.000 0.000 6.641
Ca Mg
1 3
direct
0.000 0.000 0.000
0.000 0.000 0.500
0.000 0.500 0.000
0.500 0.000 0.000

***

(10)
NaScVCl6, optimized geometry, DFT PBE; SG = P-31c (163); raw total energy = -4.824 eV per atom
1.0
6.363 0.000 0.000
-3.182 5.511 0.000
0.000 0.000 12.732
Na Sc V Cl
2 2 2 12
direct
0.000 0.000 0.000
0.000 0.000 0.500
0.333 0.667 0.250
0.667 0.333 0.750
0.333 0.667 0.750
0.667 0.333 0.250
0.004 0.359 0.638
0.004 0.645 0.862
0.355 0.359 0.862
0.355 0.996 0.638
0.359 0.004 0.138
0.359 0.355 0.362
0.641 0.645 0.638
0.641 0.996 0.862
0.645 0.004 0.362
0.645 0.641 0.138
0.996 0.355 0.138
0.996 0.641 0.362

***

(11)
ScMn2, optimized geometry, DFT PBE; SG = Fm-3m (225); E_form = 0.999 eV per atom
1.0
0.000 3.069 3.069
3.069 0.000 3.069
3.069 3.069 0.000
Sc Mn
1 2
direct
0.000 0.000 0.000
0.250 0.250 0.250
0.750 0.750 0.750

***

(12)
Rb5Sb2, optimized geometry, DFT PBE; SG = Ibam (72); raw total energy = -2.189 eV per atom
1.0
-4.665 9.227 3.976
4.665 -9.227 3.976
4.665 9.227 -3.976
Rb Sb
10 4
direct
0.012 0.250 0.762
0.079 0.648 0.727
0.250 0.250 0.000
0.421 0.148 0.569
0.488 0.250 0.238
0.512 0.750 0.762
0.579 0.852 0.431
0.750 0.750 0.000
0.921 0.352 0.273
0.988 0.750 0.238
0.123 0.257 0.380
0.377 0.757 0.134
0.623 0.243 0.866
0.877 0.743 0.620

***

(13)
Sc2NiSb2, optimized geometry, DFT PBE; SG = P4/mbm (127); raw total energy = -5.875 eV per atom
1.0
6.854 0.000 0.000
0.000 6.854 0.000
0.000 0.000 4.420
Sc Ni Sb
4 2 4
direct
0.164 0.336 0.000
0.336 0.836 0.000
0.664 0.164 0.000
0.836 0.664 0.000
0.000 0.000 0.500
0.500 0.500 0.500
0.151 0.651 0.500
0.349 0.151 0.500
0.651 0.849 0.500
0.849 0.349 0.500

***

(14)
Ba2LiTc, optimized geometry, DFT PBE; SG = P4/mmm (123); E above lowest polymorph = 0.066 eV/atom; E_form = 0.710 eV per atom
1.0
5.826 0.000 0.000
0.000 5.826 0.000
0.000 0.000 3.830
Ba Li Tc
2 1 1
direct
0.000 0.500 0.000
0.500 0.000 0.000
0.000 0.000 0.500
0.500 0.500 0.500

***

(15)
LiAgRh3, optimized geometry, DFT PBE; SG = Pm-3m (221); E above lowest polymorph = 0.000 eV/atom; E_form = 0.715 eV per atom
1.0
4.180 0.000 0.000
0.000 4.180 0.000
0.000 0.000 4.180
Li Ag Rh
1 1 3
direct
0.000 0.000 0.000
0.500 0.500 0.500
0.000 0.000 0.500
0.000 0.500 0.000
0.500 0.000 0.000

***

(16)
CuNi2Hg2, optimized geometry, DFT PBE; SG = P4/mbm (127); E_form = 0.207 eV per atom
1.0
6.312 0.000 0.000
0.000 6.312 0.000
0.000 0.000 3.967
Cu Ni Hg
2 4 4
direct
0.000 0.000 0.000
0.500 0.500 0.000
0.132 0.368 0.000
0.368 0.868 0.000
0.632 0.132 0.000
0.868 0.632 0.000
0.173 0.673 0.500
0.327 0.173 0.500
0.673 0.827 0.500
0.827 0.327 0.500

***

(17)
Y4AsP2S, optimized geometry, DFT PBE; SG = P2/m (10); raw total energy = -7.439 eV per atom
1.0
6.955 0.000 0.000
0.000 4.021 0.000
-2.311 0.000 6.577
Y As P S
4 1 2 1
direct
0.247 0.000 0.242
0.253 0.500 0.757
0.747 0.500 0.243
0.753 0.000 0.758
0.000 0.000 0.500
0.000 0.500 0.000
0.500 0.000 0.000
0.500 0.500 0.500

***

(18)
Zn2OsPb, optimized geometry, DFT PBE; SG = I4/mmm (139); E_form = 0.489 eV per atom
1.0
-1.988 1.988 4.308
1.988 -1.988 4.308
1.988 1.988 -4.308
Zn Os Pb
2 1 1
direct
0.250 0.750 0.500
0.750 0.250 0.500
0.000 0.000 0.000
0.500 0.500 0.000

***

(19)
Pr3RuAu, optimized geometry, DFT PBE; SG = P-1 (2); E above lowest polymorph = 0.026 eV/atom; E_form = -0.379 eV per atom
1.0
6.053 0.000 0.000
2.800 5.970 0.000
0.864 2.283 7.854
Pr Ru Au
6 2 2
direct
0.039 0.157 0.145
0.311 0.205 0.668
0.385 0.471 0.224
0.615 0.529 0.776
0.689 0.795 0.332
0.961 0.843 0.855
0.424 0.852 0.974
0.576 0.148 0.026
0.180 0.764 0.498
0.820 0.236 0.502

***

(20)
Li3TlGe, optimized geometry, DFT PBE; SG = C2/m (12); E above lowest polymorph = 0.000 eV/atom; E_form = -0.239 eV per atom
1.0
5.054 -2.242 0.000
5.054 2.242 0.000
-1.588 0.000 8.124
Li Tl Ge
6 2 2
direct
0.034 0.034 0.325
0.267 0.267 0.789
0.426 0.426 0.121
0.574 0.574 0.879
0.733 0.733 0.211
0.966 0.966 0.675
0.341 0.341 0.434
0.659 0.659 0.566
0.130 0.130 0.045
0.870 0.870 0.955